# NaPrSc4S8 PBE relaxed
data_NaPrSc4S8
_symmetry_space_group_name_H-M 'R 3 m'
_symmetry_Int_Tables_number 160
_symmetry_space_group_name_Hall 'R 3 -2"'
_cell_length_a 7.7003
_cell_length_b 7.7003
_cell_length_c 19.7881
_cell_angle_alpha 90.00
_cell_angle_beta 90.00
_cell_angle_gamma 120.00
loop_
_atom_site_label
_atom_site_type_symbol
_atom_site_fract_x
_atom_site_fract_y
_atom_site_fract_z
_atom_site_occupancy
Na1 Na 0.0000 0.0000 0.0000 1
Pr1 Pr 0.0000 0.0000 0.3659 1
Sc1 Sc 0.0000 0.0000 0.7416 1
Sc2 Sc 0.0144 0.5072 0.8708 1
S1 S 0.0000 0.0000 0.1335 1
S2 S 0.0000 0.0000 0.6112 1
S3 S 0.0045 0.5022 0.1267 1
S4 S 0.1766 0.3532 0.9395 1
# total magnetic moment: 0.00 μB/cell
# ΔE_f (raw): -173.17 kJ/mol of atoms
# crystal system: trigonal